No. 1
This record from the Alexandria database describes a geometry-optimized SrCaAl2 structure. The functional is GGA-PBEsol.

size of the total moment: 0.00 μB per formula unit
DFT formation energy: -0.15 eV/atom
crystal system: tetragonal
total DFT energy (no corrections): -3.1940 eV/atom

Lattice parameters (Å, degrees): 3.8310 3.8310 7.3804 90.00 90.00 90.00
Space group P4/mmm (No. 123)
Inequivalent atoms, fractional coordinates:
Sr (0.0000, 0.0000, 0.0000) x1
Ca (0.0000, 0.0000, 0.5000) x1
Al (0.5000, 0.5000, 0.2878) x2

No. 2
This record from the Alexandria database describes a geometry-optimized CaTaAl2 structure. The functional is GGA-PBEsol.

size of the total moment: 0.00 μB per formula unit
DFT formation energy: 0.09 eV/atom
crystal system: tetragonal
total DFT energy (no corrections): -5.6250 eV/atom
polymorph energy (0 for the lowest one): 18.3 kJ/mol of atoms

Lattice parameters (Å, degrees): 5.0080 5.0080 2.9814 90.00 90.00 90.00
Space group P4/mmm (No. 123)
Inequivalent atoms, fractional coordinates:
Ca (0.0000, 0.0000, 0.0000) x1
Ta (0.5000, 0.5000, 0.0000) x1
Al (0.0000, 0.5000, 0.5000) x2

No. 3
This record from the Alexandria database describes a geometry-optimized Ca2TaAl structure. The functional is GGA-PBEsol.

size of the total moment: 0.01 μB per formula unit
DFT formation energy: 0.49 eV/atom
crystal system: tetragonal
total DFT energy (no corrections): -4.7369 eV/atom

Lattice parameters (Å, degrees): 4.2831 4.2831 4.8915 90.00 90.00 90.00
Space group P4/mmm (No. 123)
Inequivalent atoms, fractional coordinates:
Ca (0.0000, 0.5000, 0.0000) x2
Ta (0.0000, 0.0000, 0.5000) x1
Al (0.5000, 0.5000, 0.5000) x1

No. 4
This record from the Alexandria database describes a geometry-optimized CaTaAl2 structure. The functional is GGA-PBEsol.

size of the total moment: 0.77 μB per formula unit
DFT formation energy: 0.73 eV/atom
crystal system: tetragonal
total DFT energy (no corrections): -4.9868 eV/atom
polymorph energy (0 for the lowest one): 79.9 kJ/mol of atoms

Lattice parameters (Å, degrees): 4.5413 4.5413 18.7883 90.00 90.00 90.00
Space group I-42d (No. 122)
Inequivalent atoms, fractional coordinates:
Ca (0.0000, 0.0000, 0.0000) x4
Ta (0.0000, 0.0000, 0.5000) x4
Al (0.1466, 0.2500, 0.6250) x8

No. 5
This record from the Alexandria database describes a geometry-optimized CaTaAl2 structure. The functional is GGA-PBEsol.

size of the total moment: 0.00 μB per formula unit
DFT formation energy: 0.14 eV/atom
crystal system: monoclinic
total DFT energy (no corrections): -5.5798 eV/atom
polymorph energy (0 for the lowest one): 22.6 kJ/mol of atoms

Lattice parameters (Å, degrees): 9.3159 2.9012 6.0951 90.00 96.20 90.00
Space group C2/m (No. 12)
Inequivalent atoms, fractional coordinates:
Ca (0.0000, 0.0000, 0.0000) x2
Ta (0.0000, 0.5000, 0.5000) x2
Al (0.2429, 0.0000, 0.6920) x4

No. 6
This record from the Alexandria database describes a geometry-optimized Ca2TaAl structure. The functional is GGA-PBEsol.

size of the total moment: 0.00 μB per formula unit
DFT formation energy: 0.41 eV/atom
crystal system: orthorhombic
total DFT energy (no corrections): -4.8210 eV/atom

Lattice parameters (Å, degrees): 4.8443 3.1970 12.5709 90.00 90.00 90.00
Space group Amm2 (No. 38)
Inequivalent atoms, fractional coordinates:
Ca (0.0000, 0.0000, 0.0000) x2
Ca (0.5000, 0.0000, 0.3278) x2
Ta (0.0000, 0.0000, 0.7176) x2
Al (0.5000, 0.0000, 0.6125) x2

No. 7
This record from the Alexandria database describes a geometry-optimized Ca2TaAl structure. The functional is GGA-PBEsol.

size of the total moment: 0.01 μB per formula unit
DFT formation energy: 0.50 eV/atom
crystal system: tetragonal
total DFT energy (no corrections): -4.7300 eV/atom

Lattice parameters (Å, degrees): 4.2376 4.2376 9.9786 90.00 90.00 90.00
Space group I4/mmm (No. 139)
Inequivalent atoms, fractional coordinates:
Ca (0.0000, 0.5000, 0.2500) x4
Ta (0.0000, 0.0000, 0.0000) x2
Al (0.0000, 0.0000, 0.5000) x2

No. 8
This record from the Alexandria database describes a geometry-optimized Ca2TaAl structure. The functional is GGA-PBEsol.

size of the total moment: 0.00 μB per formula unit
DFT formation energy: 0.48 eV/atom
crystal system: monoclinic
total DFT energy (no corrections): -4.7428 eV/atom

Lattice parameters (Å, degrees): 5.9804 10.2440 2.9970 90.00 90.55 90.00
Space group C2/m (No. 12)
Inequivalent atoms, fractional coordinates:
Ca (0.2500, 0.2500, 0.0000) x4
Ta (0.0000, 0.0000, 0.5000) x2
Al (0.0000, 0.5000, 0.5000) x2

No. 9
This record from the Alexandria database describes a geometry-optimized CaTaAl2 structure. The functional is GGA-PBEsol.

size of the total moment: 0.00 μB per formula unit
DFT formation energy: -0.10 eV/atom
crystal system: orthorhombic
total DFT energy (no corrections): -5.8144 eV/atom
polymorph energy (0 for the lowest one): 0.0 kJ/mol of atoms

Lattice parameters (Å, degrees): 2.9690 3.9175 6.6616 90.00 90.00 90.00
Space group Pmmm (No. 47)
Inequivalent atoms, fractional coordinates:
Ca (0.0000, 0.0000, 0.0000) x1
Ta (0.0000, 0.0000, 0.5000) x1
Al (0.5000, 0.5000, 0.2949) x2

No. 10
This record from the Alexandria database describes a geometry-optimized Ca2TaAl structure. The functional is GGA-PBEsol.

size of the total moment: 0.51 μB per formula unit
DFT formation energy: 0.40 eV/atom
crystal system: orthorhombic
total DFT energy (no corrections): -4.8310 eV/atom

Lattice parameters (Å, degrees): 3.2324 5.4282 11.0801 90.00 90.00 90.00
Space group Imm2 (No. 44)
Inequivalent atoms, fractional coordinates:
Ca (0.0000, 0.0000, 0.0000) x2
Ca (0.0000, 0.5000, 0.2089) x2
Ta (0.0000, 0.5000, 0.7718) x2
Al (0.0000, 0.0000, 0.4652) x2

No. 11
This record from the Alexandria database describes a geometry-optimized CaAl2Tc structure. The functional is GGA-PBEsol.

size of the total moment: 0.00 μB per formula unit
DFT formation energy: 0.00 eV/atom
crystal system: tetragonal
total DFT energy (no corrections): -5.3936 eV/atom
polymorph energy (0 for the lowest one): 22.5 kJ/mol of atoms

Lattice parameters (Å, degrees): 4.2364 4.2364 7.5909 90.00 90.00 90.00
Space group I4/mmm (No. 139)
Inequivalent atoms, fractional coordinates:
Ca (0.0000, 0.0000, 0.0000) x2
Al (0.0000, 0.5000, 0.2500) x4
Tc (0.0000, 0.0000, 0.5000) x2

No. 12
This record from the Alexandria database describes a geometry-optimized Ca4AlTc structure. The functional is GGA-PBEsol.

size of the total moment: 1.65 μB per formula unit
DFT formation energy: 0.99 eV/atom
crystal system: cubic
total DFT energy (no corrections): -2.9930 eV/atom

Lattice parameters (Å, degrees): 8.4956 8.4956 8.4956 90.00 90.00 90.00
Space group F-43m (No. 216)
Inequivalent atoms, fractional coordinates:
Ca (0.1242, 0.1242, 0.3758) x16
Al (0.0000, 0.0000, 0.0000) x4
Tc (0.2500, 0.2500, 0.7500) x4

No. 13
This record from the Alexandria database describes a geometry-optimized CaAl2Tc structure. The functional is GGA-PBEsol.

size of the total moment: 0.63 μB per formula unit
DFT formation energy: 0.49 eV/atom
crystal system: tetragonal
total DFT energy (no corrections): -4.9047 eV/atom
polymorph energy (0 for the lowest one): 69.7 kJ/mol of atoms

Lattice parameters (Å, degrees): 4.7498 4.7498 17.1314 90.00 90.00 90.00
Space group I-42d (No. 122)
Inequivalent atoms, fractional coordinates:
Ca (0.0000, 0.0000, 0.0000) x4
Al (0.0804, 0.2500, 0.6250) x8
Tc (0.0000, 0.0000, 0.5000) x4

No. 14
This record from the Alexandria database describes a geometry-optimized CaAl2Tc structure. The functional is GGA-PBEsol.

size of the total moment: 0.00 μB per formula unit
DFT formation energy: -0.23 eV/atom
crystal system: tetragonal
total DFT energy (no corrections): -5.6268 eV/atom
polymorph energy (0 for the lowest one): 0.0 kJ/mol of atoms

Lattice parameters (Å, degrees): 3.2360 3.2360 6.9149 90.00 90.00 90.00
Space group P4/mmm (No. 123)
Inequivalent atoms, fractional coordinates:
Ca (0.0000, 0.0000, 0.0000) x1
Al (0.5000, 0.5000, 0.3149) x2
Tc (0.0000, 0.0000, 0.5000) x1

No. 15
This record from the Alexandria database describes a geometry-optimized CaAlTc2 structure. The functional is GGA-PBEsol.

size of the total moment: 0.00 μB per formula unit
DFT formation energy: 0.48 eV/atom
crystal system: tetragonal
total DFT energy (no corrections): -6.7124 eV/atom

Lattice parameters (Å, degrees): 3.8783 3.8783 4.3627 90.00 90.00 90.00
Space group P4/mmm (No. 123)
Inequivalent atoms, fractional coordinates:
Ca (0.0000, 0.0000, 0.0000) x1
Al (0.5000, 0.5000, 0.0000) x1
Tc (0.0000, 0.5000, 0.5000) x2